Entry 1:
Entry from Alexandria: a crystal of Mg3Co2O7 relaxed with PBEsol (meta-GGA SCAN).

Crystal system: orthorhombic
Symmetry: Cmc2_1, No. 36
ΔE_f (raw), meV per atom: -2034

Lattice parameters (Å, degrees): 9.0241 9.0241 5.1253 90.00 90.00 31.44
Atoms (fractional coordinates):
Mg 0.0545 0.5601 0.3447
Mg 0.2260 0.7740 0.5000
Mg 0.4399 0.9455 0.3447
Mg 0.5601 0.0545 0.8447
Mg 0.7740 0.2260 0.0000
Mg 0.9455 0.4399 0.8447
Co 0.1497 0.6490 0.9238
Co 0.3510 0.8503 0.9238
Co 0.6490 0.1497 0.4238
Co 0.8503 0.3510 0.4238
O 0.0121 0.1374 0.7321
O 0.0636 0.3409 0.4644
O 0.1374 0.0121 0.2321
O 0.3105 0.4271 0.6252
O 0.3409 0.0636 0.9644
O 0.3839 0.6161 0.8789
O 0.4271 0.3105 0.1252
O 0.5729 0.6895 0.6252
O 0.6161 0.3839 0.3789
O 0.6591 0.9364 0.4644
O 0.6895 0.5729 0.1252
O 0.8626 0.9879 0.7321
O 0.9364 0.6591 0.9644
O 0.9879 0.8626 0.2321

=====

Entry 2:
Entry from Alexandria: a crystal of MgCoP4O12 relaxed with PBEsol (meta-GGA SCAN).

Crystal system: monoclinic
Symmetry: C2/c, No. 15
ΔE_f (raw), meV per atom: -2423

Lattice parameters (Å, degrees): 7.1902 7.1902 9.9429 113.23 113.23 70.26
Atoms (fractional coordinates):
Mg 0.0543 0.9457 0.7500
Mg 0.9457 0.0543 0.2500
Co 0.0000 0.5000 0.5000
Co 0.5000 0.0000 0.0000
P 0.2534 0.7304 0.0232
P 0.2696 0.7466 0.4768
P 0.2925 0.3125 0.8026
P 0.3125 0.2925 0.3026
P 0.6875 0.7075 0.6974
P 0.7075 0.6875 0.1974
P 0.7304 0.2534 0.5232
P 0.7466 0.2696 0.9768
O 0.0897 0.8527 0.0968
O 0.1191 0.2791 0.3217
O 0.1473 0.9103 0.4032
O 0.1867 0.3459 0.6497
O 0.1926 0.7095 0.5842
O 0.2100 0.5016 0.9341
O 0.2791 0.1191 0.8217
O 0.2905 0.8074 0.9158
O 0.3153 0.5310 0.3470
O 0.3459 0.1867 0.1497
O 0.4690 0.6847 0.1530
O 0.4984 0.7900 0.5659
O 0.5016 0.2100 0.4341
O 0.5310 0.3153 0.8470
O 0.6541 0.8133 0.8503
O 0.6847 0.4690 0.6530
O 0.7095 0.1926 0.0842
O 0.7209 0.8809 0.1783
O 0.7900 0.4984 0.0659
O 0.8074 0.2905 0.4158
O 0.8133 0.6541 0.3503
O 0.8527 0.0897 0.5968
O 0.8809 0.7209 0.6783
O 0.9103 0.1473 0.9032

=====

Entry 3:
Entry from Alexandria: a crystal of MgCo2P2O8 relaxed with PBEsol (meta-GGA SCAN).

Crystal system: monoclinic
Symmetry: P2_1/c, No. 14
ΔE_f (raw), meV per atom: -2290

Lattice parameters (Å, degrees): 5.0322 8.2943 8.7480 90.00 120.24 90.00
Atoms (fractional coordinates):
Mg 0.0000 0.0000 0.0000
Mg 0.0000 0.5000 0.5000
Co 0.0194 0.1407 0.6123
Co 0.0194 0.3593 0.1123
Co 0.9806 0.6407 0.8877
Co 0.9806 0.8593 0.3877
P 0.3383 0.6950 0.3008
P 0.3383 0.8050 0.8008
P 0.6617 0.1950 0.1992
P 0.6617 0.3050 0.6992
O 0.1853 0.6353 0.7422
O 0.1853 0.8647 0.2422
O 0.1866 0.5789 0.1390
O 0.1866 0.9211 0.6390
O 0.2694 0.6391 0.4446
O 0.2694 0.8609 0.9446
O 0.3118 0.1959 0.1278
O 0.3118 0.3041 0.6278
O 0.6882 0.6959 0.3722
O 0.6882 0.8041 0.8722
O 0.7306 0.1391 0.0554
O 0.7306 0.3609 0.5554
O 0.8134 0.0789 0.3610
O 0.8134 0.4211 0.8610
O 0.8147 0.1353 0.7578
O 0.8147 0.3647 0.2578

=====

Entry 4:
Entry from Alexandria: a crystal of MgCoSi4O10 relaxed with PBEsol (meta-GGA SCAN).

Crystal system: tetragonal
Symmetry: P4/ncc, No. 130
ΔE_f (raw), meV per atom: -2707

Lattice parameters (Å, degrees): 7.1112 7.1112 14.7305 90.00 90.00 90.00
Atoms (fractional coordinates):
Mg 0.2500 0.7500 0.0000
Mg 0.2500 0.7500 0.5000
Mg 0.7500 0.2500 0.0000
Mg 0.7500 0.2500 0.5000
Co 0.2500 0.2500 0.0730
Co 0.2500 0.2500 0.5730
Co 0.7500 0.7500 0.4270
Co 0.7500 0.7500 0.9270
Si 0.0069 0.5739 0.1428
Si 0.0069 0.9261 0.6428
Si 0.0739 0.5069 0.3572
Si 0.0739 0.9931 0.8572
Si 0.4261 0.5069 0.8572
Si 0.4261 0.9931 0.3572
Si 0.4931 0.5739 0.6428
Si 0.4931 0.9261 0.1428
Si 0.5069 0.0739 0.8572
Si 0.5069 0.4261 0.3572
Si 0.5739 0.0069 0.6428
Si 0.5739 0.4931 0.1428
Si 0.9261 0.0069 0.1428
Si 0.9261 0.4931 0.6428
Si 0.9931 0.0739 0.3572
Si 0.9931 0.4261 0.8572
O 0.0012 0.6687 0.4257
O 0.0012 0.8313 0.9257
O 0.0104 0.7008 0.6203
O 0.0104 0.7992 0.1203
O 0.0458 0.5458 0.2500
O 0.0458 0.9542 0.7500
O 0.1687 0.5012 0.0743
O 0.1687 0.9988 0.5743
O 0.2008 0.5104 0.8797
O 0.2008 0.9896 0.3797
O 0.2992 0.5104 0.3797
O 0.2992 0.9896 0.8797
O 0.3313 0.5012 0.5743
O 0.3313 0.9988 0.0743
O 0.4542 0.5458 0.7500
O 0.4542 0.9542 0.2500
O 0.4896 0.7008 0.1203
O 0.4896 0.7992 0.6203
O 0.4988 0.6687 0.9257
O 0.4988 0.8313 0.4257
O 0.5012 0.1687 0.5743
O 0.5012 0.3313 0.0743
O 0.5104 0.2008 0.3797
O 0.5104 0.2992 0.8797
O 0.5458 0.0458 0.7500
O 0.5458 0.4542 0.2500
O 0.6687 0.0012 0.9257
O 0.6687 0.4988 0.4257
O 0.7008 0.0104 0.1203
O 0.7008 0.4896 0.6203
O 0.7992 0.0104 0.6203
O 0.7992 0.4896 0.1203
O 0.8313 0.0012 0.4257
O 0.8313 0.4988 0.9257
O 0.9542 0.0458 0.2500
O 0.9542 0.4542 0.7500
O 0.9896 0.2008 0.8797
O 0.9896 0.2992 0.3797
O 0.9988 0.1687 0.0743
O 0.9988 0.3313 0.5743

=====

Entry 5:
Entry from Alexandria: a crystal of Mg30CoSnO32 relaxed with PBEsol (meta-GGA SCAN).

Crystal system: tetragonal
Symmetry: P4/mmm, No. 123
ΔE_f (raw), meV per atom: -2843

Lattice parameters (Å, degrees): 8.5092 8.5092 8.4836 90.00 90.00 90.00
Atoms (fractional coordinates):
Mg 0.0000 0.0000 0.0000
Mg 0.0000 0.0000 0.5000
Mg 0.0000 0.2498 0.2489
Mg 0.0000 0.2498 0.7511
Mg 0.0000 0.5000 0.0000
Mg 0.0000 0.5000 0.5000
Mg 0.0000 0.7502 0.2489
Mg 0.0000 0.7502 0.7511
Mg 0.2457 0.2457 0.5000
Mg 0.2457 0.7543 0.5000
Mg 0.2467 0.5000 0.2436
Mg 0.2467 0.5000 0.7564
Mg 0.2498 0.0000 0.2489
Mg 0.2498 0.0000 0.7511
Mg 0.2514 0.2514 0.0000
Mg 0.2514 0.7486 0.0000
Mg 0.5000 0.0000 0.0000
Mg 0.5000 0.0000 0.5000
Mg 0.5000 0.2467 0.2436
Mg 0.5000 0.2467 0.7564
Mg 0.5000 0.7533 0.2436
Mg 0.5000 0.7533 0.7564
Mg 0.7486 0.2514 0.0000
Mg 0.7486 0.7486 0.0000
Mg 0.7502 0.0000 0.2489
Mg 0.7502 0.0000 0.7511
Mg 0.7533 0.5000 0.2436
Mg 0.7533 0.5000 0.7564
Mg 0.7543 0.2457 0.5000
Mg 0.7543 0.7543 0.5000
Co 0.5000 0.5000 0.0000
Sn 0.5000 0.5000 0.5000
O 0.0000 0.0000 0.2497
O 0.0000 0.0000 0.7503
O 0.0000 0.2475 0.5000
O 0.0000 0.2490 0.0000
O 0.0000 0.5000 0.2483
O 0.0000 0.5000 0.7517
O 0.0000 0.7510 0.0000
O 0.0000 0.7525 0.5000
O 0.2337 0.5000 0.5000
O 0.2429 0.5000 0.0000
O 0.2475 0.0000 0.5000
O 0.2490 0.0000 0.0000
O 0.2507 0.2507 0.2504
O 0.2507 0.2507 0.7496
O 0.2507 0.7493 0.2504
O 0.2507 0.7493 0.7496
O 0.5000 0.0000 0.2483
O 0.5000 0.0000 0.7517
O 0.5000 0.2337 0.5000
O 0.5000 0.2429 0.0000
O 0.5000 0.5000 0.2352
O 0.5000 0.5000 0.7648
O 0.5000 0.7571 0.0000
O 0.5000 0.7663 0.5000
O 0.7493 0.2507 0.2504
O 0.7493 0.2507 0.7496
O 0.7493 0.7493 0.2504
O 0.7493 0.7493 0.7496
O 0.7510 0.0000 0.0000
O 0.7525 0.0000 0.5000
O 0.7571 0.5000 0.0000
O 0.7663 0.5000 0.5000

=====

Entry 6:
Entry from Alexandria: a crystal of Mg2Ta2CoO8 relaxed with PBEsol (meta-GGA SCAN).

Crystal system: monoclinic
Symmetry: C2/c, No. 15
ΔE_f (raw), meV per atom: -2780

Lattice parameters (Å, degrees): 9.8241 9.8241 5.1145 90.04 90.04 35.20
Atoms (fractional coordinates):
Mg 0.0841 0.3704 0.2537
Mg 0.3704 0.0841 0.7537
Mg 0.6296 0.9159 0.2463
Mg 0.9159 0.6296 0.7463
Ta 0.2247 0.5466 0.2482
Ta 0.4534 0.7753 0.2518
Ta 0.5466 0.2247 0.7482
Ta 0.7753 0.4534 0.7518
Co 0.1255 0.8745 0.7500
Co 0.8745 0.1255 0.2500
O 0.0449 0.3358 0.6196
O 0.0701 0.8144 0.0810
O 0.1856 0.9299 0.4190
O 0.2155 0.4131 0.9548
O 0.3145 0.5474 0.5879
O 0.3358 0.0449 0.1196
O 0.4131 0.2155 0.4548
O 0.4526 0.6855 0.9121
O 0.5474 0.3145 0.0879
O 0.5869 0.7845 0.5452
O 0.6642 0.9551 0.8804
O 0.6855 0.4526 0.4121
O 0.7845 0.5869 0.0452
O 0.8144 0.0701 0.5810
O 0.9299 0.1856 0.9190
O 0.9551 0.6642 0.3804

=====

no.,calculated total energy (eV/atom)
1,-9.80
2,-10.13
3,-10.77
4,-10.50
5,-9.12
6,-18.95